1.
Computed, not measured: a relaxed KAg3Ir crystal at the PBE level of DFT.

The calculation puts the energy above the lowest structure with this stoichiometry at 0.0 meV per atom. The calculation puts the magnetic moment at 0.649 μB per formula unit.

It has space group Pm-3m (No. 221), with a = 5.191 Å, b = 5.191 Å, c = 5.191 Å, α = 90.00°, β = 90.00° and γ = 90.00°. The inequivalent atoms are K at (0.000, 0.000, 0.000), Ag at (0.000, 0.500, 0.500) and Ir at (0.500, 0.500, 0.500).

2.
Computed, not measured: a relaxed KAgIr2 crystal at the PBE level of DFT.

The calculation puts the energy above the lowest structure with this stoichiometry at 468.3 meV per atom. The calculation puts the magnetic moment at 0.000 μB per formula unit.

It has space group I-42d (No. 122), with a = 4.430 Å, b = 4.430 Å, c = 20.061 Å, α = 90.00°, β = 90.00° and γ = 90.00°. The inequivalent atoms are K at (0.000, 0.000, 0.000), Ag at (0.000, 0.000, 0.500) and Ir at (0.102, 0.250, 0.625).

3.
Computed, not measured: a relaxed KAgIr2 crystal at the PBE level of DFT.

The calculation puts the energy above the lowest structure with this stoichiometry at 347.9 meV per atom. The calculation puts the magnetic moment at 0.000 μB per formula unit.

It has space group Imm2 (No. 44), with a = 2.751 Å, b = 5.436 Å, c = 10.978 Å, α = 90.00°, β = 90.00° and γ = 90.00°. The inequivalent atoms are K at (0.000, 0.000, 0.000), Ag at (0.000, 0.500, 0.790), Ir at (0.000, 0.000, 0.518) and Ir at (0.000, 0.500, 0.208).

4.
Computed, not measured: a relaxed KAgIr2 crystal at the PBE level of DFT.

The calculation puts the energy above the lowest structure with this stoichiometry at 368.9 meV per atom. The calculation puts the magnetic moment at 0.002 μB per formula unit.

It has space group P4/mmm (No. 123), with a = 2.702 Å, b = 2.702 Å, c = 9.998 Å, α = 90.00°, β = 90.00° and γ = 90.00°. The inequivalent atoms are K at (0.000, 0.000, 0.000), Ag at (0.000, 0.000, 0.500) and Ir at (0.500, 0.500, 0.275).

5.
Computed, not measured: a relaxed KAgIr2 crystal at the PBE level of DFT.

The calculation puts the energy above the lowest structure with this stoichiometry at 468.2 meV per atom. The calculation puts the magnetic moment at 0.016 μB per formula unit.

It has space group Cmmm (No. 65), with a = 5.675 Å, b = 10.003 Å, c = 2.601 Å, α = 90.00°, β = 90.00° and γ = 90.00°. The inequivalent atoms are K at (0.000, 0.000, 0.000), Ag at (0.000, 0.500, 0.000) and Ir at (0.250, 0.250, 0.500).

6.
Computed, not measured: a relaxed KAgIr2 crystal at the PBE level of DFT.

The calculation puts the energy above the lowest structure with this stoichiometry at 610.7 meV per atom. The calculation puts the magnetic moment at 1.048 μB per formula unit.

It has space group P4/mmm (No. 123), with a = 3.886 Å, b = 3.886 Å, c = 4.940 Å, α = 90.00°, β = 90.00° and γ = 90.00°. The inequivalent atoms are K at (0.000, 0.000, 0.000), Ag at (0.500, 0.500, 0.000) and Ir at (0.000, 0.500, 0.500).

7.
Computed, not measured: a relaxed KAgIr2 crystal at the PBE level of DFT.

The calculation puts the energy above the lowest structure with this stoichiometry at 353.7 meV per atom. The calculation puts the magnetic moment at 0.000 μB per formula unit.

It has space group P2/m (No. 10), with a = 2.726 Å, b = 5.230 Å, c = 5.253 Å, α = 90.00°, β = 99.23° and γ = 90.00°. The inequivalent atoms are K at (0.000, 0.000, 0.000), Ag at (0.500, 0.000, 0.500) and Ir at (0.327, 0.500, 0.723).

8.
Computed, not measured: a relaxed KAgIr2N crystal at the PBE level of DFT.

The calculation puts the magnetic moment at 2.699 μB per formula unit. Its raw formation energy is 2841 meV per atom.

It has space group P4/mmm (No. 123), with a = 4.912 Å, b = 4.912 Å, c = 5.778 Å, α = 90.00°, β = 90.00° and γ = 90.00°. The inequivalent atoms are K at (0.000, 0.000, 0.000), Ag at (0.000, 0.000, 0.500), Ir at (0.000, 0.500, 0.500) and N at (0.500, 0.500, 0.000).

Looking at D(E_F) for the records above, in order, we have 5.1; 14.6; 9.7; 4.0; 10.5; 5.0; 4.4; 14.6 states/eV/cell.
Looking at VASP energy for the records above, in order, we have -3.041; -4.568; -4.688; -4.667; -4.568; -4.426; -4.683; -3.159 eV per atom.